# Nb2Co2Pd PBEsol relaxed
data_Nb2Co2Pd
_chemical_formula_sum 'Nb4 Co4 Pd2'
_symmetry_space_group_name_H-M 'P 4/m b m'
_symmetry_Int_Tables_number 127
_symmetry_space_group_name_Hall '-P 4 2ab'
_cell_length_a 6.828
_cell_length_b 6.828
_cell_length_c 2.995
_cell_angle_alpha 90.00
_cell_angle_beta 90.00
_cell_angle_gamma 90.00
loop_
_atom_site_label
_atom_site_fract_x
_atom_site_fract_y
_atom_site_fract_z
Nb1 0.171 0.329 0.000
Co1 0.130 0.630 0.500
Pd1 0.000 0.000 0.500
# E_tot	-8.860	eV/atom
# formation enthalpy at 0 K	-0.25	eV per atom
# crystal system	tetragonal
# calculated density	9.755	g/cm³

=====

# BeTlSe3 PBEsol relaxed
data_BeTlSe3
_chemical_formula_sum 'Be1 Tl1 Se3'
_symmetry_space_group_name_H-M 'P m -3 m'
_symmetry_Int_Tables_number 221
_symmetry_space_group_name_Hall '-P 4 2 3'
_cell_length_a 5.250
_cell_length_b 5.250
_cell_length_c 5.250
_cell_angle_alpha 90.00
_cell_angle_beta 90.00
_cell_angle_gamma 90.00
loop_
_atom_site_label
_atom_site_fract_x
_atom_site_fract_y
_atom_site_fract_z
Be1 0.000 0.000 0.000
Tl1 0.500 0.500 0.500
Se1 0.000 0.500 0.500
# E_tot	-2.473	eV/atom
# energy relative to the elements, uncorrected	1163	meV per atom
# crystal system	cubic
# calculated density	5.167	g/cm³

=====

# YTiPdN2 PBEsol relaxed
data_YTiPdN2
_chemical_formula_sum 'Y1 Ti1 Pd1 N2'
_symmetry_space_group_name_H-M 'P 4/m m m'
_symmetry_Int_Tables_number 123
_symmetry_space_group_name_Hall '-P 4 2'
_cell_length_a 4.060
_cell_length_b 4.060
_cell_length_c 6.049
_cell_angle_alpha 90.00
_cell_angle_beta 90.00
_cell_angle_gamma 90.00
loop_
_atom_site_label
_atom_site_fract_x
_atom_site_fract_y
_atom_site_fract_z
Y1 0.000 0.000 0.000
Ti1 0.000 0.000 0.500
Pd1 0.500 0.500 0.500
N1 0.000 0.500 0.000
# E_tot	-6.155	eV/atom
# energy relative to the elements, uncorrected	1476	meV per atom
# crystal system	tetragonal
# calculated density	4.517	g/cm³

=====

# CaTi2PRu PBEsol relaxed
data_CaTi2PRu
_chemical_formula_sum 'Ca1 Ti2 P1 Ru1'
_symmetry_space_group_name_H-M 'P 4/m m m'
_symmetry_Int_Tables_number 123
_symmetry_space_group_name_Hall '-P 4 2'
_cell_length_a 4.309
_cell_length_b 4.309
_cell_length_c 4.711
_cell_angle_alpha 90.00
_cell_angle_beta 90.00
_cell_angle_gamma 90.00
loop_
_atom_site_label
_atom_site_fract_x
_atom_site_fract_y
_atom_site_fract_z
Ca1 0.000 0.000 0.000
Ti1 0.000 0.500 0.000
P1 0.000 0.000 0.500
Ru1 0.500 0.500 0.500
# E_tot	-5.123	eV/atom
# formation enthalpy at 0 K	1.82	eV per atom
# crystal system	tetragonal
# calculated density	5.085	g/cm³

=====

What did the second record say?
# BeTlSe3 PBEsol relaxed
data_BeTlSe3
_chemical_formula_sum 'Be1 Tl1 Se3'
_symmetry_space_group_name_H-M 'P m -3 m'
_symmetry_Int_Tables_number 221
_symmetry_space_group_name_Hall '-P 4 2 3'
_cell_length_a 5.250
_cell_length_b 5.250
_cell_length_c 5.250
_cell_angle_alpha 90.00
_cell_angle_beta 90.00
_cell_angle_gamma 90.00
loop_
_atom_site_label
_atom_site_fract_x
_atom_site_fract_y
_atom_site_fract_z
Be1 0.000 0.000 0.000
Tl1 0.500 0.500 0.500
Se1 0.000 0.500 0.500
# E_tot	-2.473	eV/atom
# energy relative to the elements, uncorrected	1163	meV per atom
# crystal system	cubic
# calculated density	5.167	g/cm³